# 1
Material: NdHo2Ta
Method: DFT, GGA-PBE
State: optimized geometry

abc: 3.2868 3.2868 35.4431
angles: 90.00 90.00 120.00
Closest atoms and distances in Å follow each position.
Space group R-3m (No. 166, hexagonal axes)
Asymmetric unit:
Nd 0.0000 0.0000 0.0000 x3  6 Nd 3.29, 6 Ho 3.55
Ho 0.0000 0.0000 0.4178 x6  1 Ta 2.91
Ta 0.0000 0.0000 0.5000 x3  2 Ho 2.91

Calculated values
Calculated total energy: -5.82 eV per atom
Calculated formation energy: 0.621 eV per atom

***

# 2
Material: LiZn4Pd2
Method: DFT, GGA-PBE
State: optimized geometry

abc: 5.4659 8.9348 8.9811
angles: 90.00 90.00 90.00
Closest atoms and distances in Å follow each position.
Space group Fmmm (No. 69)
Asymmetric unit:
Li 0.0000 0.0000 0.0000 x4  4 Zn 2.63-2.64
Zn 0.0000 0.0000 0.2935 x8  4 Zn 2.61-2.84, 1 Li 2.64, 4 Pd 2.65
Zn 0.0000 0.2059 0.5000 x8  4 Zn 2.61-2.84, 1 Li 2.63, 4 Pd 2.66
Pd 0.2500 0.2500 0.2500 x8  8 Zn 2.65-2.66, 2 Pd 2.73

Calculated values
Calculated total energy: -2.86 eV per atom
Distance to the lowest polymorph of the same formula: 0 meV/atom
Calculated formation energy: -0.375 eV per atom

***

# 3
Material: Sm3TlCd
Method: DFT, GGA-PBE
State: optimized geometry

abc: 5.2887 21.2110 5.2893
angles: 90.00 90.00 90.00
Closest atoms and distances in Å follow each position.
Space group Cmcm (No. 63)
Asymmetric unit:
Sm 0.0000 0.0582 0.2500 x4  2 Cd 3.33, 2 Tl 3.34, 4 Sm 3.62-3.64
Sm 0.0000 0.2499 0.2500 x4  4 Tl 3.33, 4 Cd 3.34-3.35
Sm 0.0000 0.4406 0.2500 x4  2 Cd 3.31, 2 Tl 3.32, 4 Sm 3.64-3.65
Tl 0.0000 0.3456 0.7500 x4  8 Sm 3.32-3.34
Cd 0.0000 0.1535 0.7500 x4  8 Sm 3.31-3.35

Calculated values
Calculated total energy: -3.75 eV per atom
Distance to the lowest polymorph of the same formula: 0 meV/atom
Calculated formation energy: -0.260 eV per atom

***

# 4
Material: YCu2As2
Method: DFT, GGA-PBE
State: optimized geometry

abc: 8.6712 9.9402 5.9520
angles: 90.00 131.11 90.00
Closest atoms and distances in Å follow each position.
Space group C2/c (No. 15)
Asymmetric unit:
Y 0.0000 0.1319 0.2500 x4  4 As 2.82-2.98
Cu 0.1498 0.3614 0.0374 x8  4 As 2.41-2.48, 1 Cu 2.60
As 0.0000 0.1519 0.7500 x4  4 Cu 2.41-2.45
As 0.0000 0.4259 0.2500 x4  4 Cu 2.42-2.48

Calculated values
Calculated total energy: -5.28 eV per atom
Calculated formation energy: -0.484 eV per atom

***

# 5
Material: DyNp3
Method: DFT, GGA-PBE
State: optimized geometry

abc: 4.5584 4.5584 9.1335
angles: 90.00 90.00 90.00
Closest atoms and distances in Å follow each position.
Space group I4/mmm (No. 139)
Asymmetric unit:
Dy 0.0000 0.0000 0.0000 x2  12 Np 3.22-3.23
Np 0.0000 0.0000 0.5000 x2  4 Dy 3.22, 8 Np 3.23
Np 0.0000 0.5000 0.2500 x4  8 Np 3.22-3.23, 4 Dy 3.23

Calculated values
Calculated total energy: -10.14 eV per atom
Calculated formation energy: 0.720 eV per atom

***

# 6
Material: Pr3CdRh3
Method: DFT, GGA-PBE
State: optimized geometry

abc: 4.4473 10.5401 13.9851
angles: 90.00 90.00 90.00
Closest atoms and distances in Å follow each position.
Space group Cmcm (No. 63)
Asymmetric unit:
Pr 0.0000 0.0237 0.2500 x4  5 Rh 2.86-3.20
Pr 0.0000 0.3040 0.1049 x8  6 Rh 2.98-3.12
Cd 0.0000 0.0000 0.0000 x4  4 Rh 2.78
Rh 0.0000 0.2480 0.7500 x4  2 Rh 2.72, 1 Pr 2.86
Rh 0.0000 0.4036 0.5944 x8  1 Rh 2.72, 2 Cd 2.78, 1 Pr 2.98

Calculated values
Calculated total energy: -5.93 eV per atom
Distance to the lowest polymorph of the same formula: 0 meV/atom
Calculated formation energy: -0.603 eV per atom

***

# 7
Material: Re3PdO
Method: DFT, GGA-PBE
State: optimized geometry

abc: 4.7394 4.7394 4.7394
angles: 90.00 90.00 90.00
Closest atoms and distances in Å follow each position.
Space group Pm-3m (No. 221)
Asymmetric unit:
Re 0.0000 0.0000 0.5000 x3  2 Pd 2.37
Pd 0.0000 0.0000 0.0000 x1  6 Re 2.37
O 0.5000 0.5000 0.5000 x1  12 Re 3.35

Calculated values
Calculated total energy: -6.23 eV per atom
E_form (uncorrected): 3265 meV per atom
Distance to the lowest polymorph of the same formula: 2852 meV/atom

***

# 8
Material: Mg3Si4
Method: DFT, GGA-PBE
State: optimized geometry

abc: 5.5180 7.4416 7.7285
angles: 111.56 103.12 101.70
Closest atoms and distances in Å follow each position.
Space group P1 (No. 1)
Asymmetric unit:
Mg 0.0000 0.0000 0.0000 x1  5 Si 2.68-2.88
Mg 0.0921 0.8339 0.3254 x1  4 Si 2.66-2.94
Mg 0.1987 0.2975 0.6981 x1  6 Si 2.73-3.05
Mg 0.4002 0.8439 0.7363 x1  6 Si 2.78-3.07
Mg 0.5174 0.6023 0.2725 x1  6 Si 2.70-3.00
Mg 0.8025 0.5552 0.6364 x1  7 Si 2.74-3.02
Si 0.1689 0.4528 0.4230 x1  2 Si 2.39-2.47
Si 0.1804 0.6603 0.9874 x1  2 Si 2.44-2.49, 1 Mg 2.66
Si 0.4228 0.2176 0.3257 x1  3 Si 2.45-2.47, 1 Mg 2.68
Si 0.6016 0.1245 0.5886 x1  3 Si 2.39-2.45
Si 0.6225 0.6792 0.9770 x1  2 Si 2.38-2.44
Si 0.7535 0.2669 0.1673 x1  3 Si 2.39-2.46
Si 0.7750 0.3923 0.9230 x1  4 Si 2.38-2.49
Si 0.8808 0.9220 0.6146 x1  1 Si 2.39

Calculated values
Calculated total energy: -3.70 eV per atom
E_form (uncorrected): 82 meV per atom
Distance to the lowest polymorph of the same formula: 30 meV/atom